[1]
Computed, not measured: a relaxed structure of KCeRhS3 at the PBE-GGA level of DFT.

a b c (Å): 8.7211 4.0479 9.2270
angles (deg): 90.00 105.68 90.00
Last column: nearest neighbours and their distance in Å.
Fractional coordinates of all 12 atoms:
K: 0.1921 0.2500 0.2303  7 S 3.26-3.42
K: 0.8079 0.7500 0.7697  7 S 3.26-3.42
Ce: 0.3232 0.7500 0.8382  6 S 2.72-2.81
Ce: 0.6768 0.2500 0.1618  6 S 2.72-2.81
Rh: 0.0853 0.2500 0.5867  4 S 2.35-2.42
Rh: 0.9147 0.7500 0.4133  4 S 2.35-2.42
S: 0.1215 0.2500 0.8564  1 Rh 2.42
S: 0.1940 0.7500 0.5298  3 Rh 2.35-2.38
S: 0.4516 0.7500 0.1527  3 Ce 2.81
S: 0.5484 0.2500 0.8473  3 Ce 2.81
S: 0.8060 0.2500 0.4702  3 Rh 2.35-2.38
S: 0.8785 0.7500 0.1436  1 Rh 2.42

***

[2]
Computed, not measured: a relaxed structure of KCeRhSe3 at the PBE-GGA level of DFT.

a b c (Å): 9.0499 4.1786 9.6149
angles (deg): 90.00 106.69 90.00
Last column: nearest neighbours and their distance in Å.
Fractional coordinates of all 12 atoms:
K: 0.1954 0.2500 0.2344  7 Se 3.36-3.49
K: 0.8046 0.7500 0.7656  7 Se 3.36-3.49
Ce: 0.3193 0.7500 0.8399  6 Se 2.85-2.95
Ce: 0.6807 0.2500 0.1601  6 Se 2.85-2.95
Rh: 0.0840 0.2500 0.5858  4 Se 2.48-2.55
Rh: 0.9160 0.7500 0.4142  4 Se 2.48-2.55
Se: 0.1120 0.2500 0.8579  1 Rh 2.55, 2 Ce 2.85
Se: 0.2003 0.7500 0.5262  3 Rh 2.48-2.49
Se: 0.4523 0.7500 0.1578  3 Ce 2.93-2.95
Se: 0.5477 0.2500 0.8422  3 Ce 2.93-2.95
Se: 0.7997 0.2500 0.4738  3 Rh 2.48-2.49
Se: 0.8880 0.7500 0.1421  1 Rh 2.55, 2 Ce 2.85

***

[3]
Computed, not measured: a relaxed structure of K4Ce3RhSe8 at the PBE-GGA level of DFT.

a b c (Å): 9.0983 9.0983 9.0983
angles (deg): 55.07 55.07 55.07
Last column: nearest neighbours and their distance in Å.
Fractional coordinates of all 16 atoms:
K: 0.0000 0.0000 0.0000  6 Se 3.49
K: 0.0000 0.5000 0.5000  6 Se 3.28-3.31
K: 0.5000 0.0000 0.5000  6 Se 3.28-3.31
K: 0.5000 0.5000 0.0000  6 Se 3.28-3.31
Ce: 0.0000 0.0000 0.5000  6 Se 2.93-2.94
Ce: 0.0000 0.5000 0.0000  6 Se 2.93-2.94
Ce: 0.5000 0.0000 0.0000  6 Se 2.93-2.94
Rh: 0.5000 0.5000 0.5000  6 Se 2.72
Se: 0.2380 0.2380 0.2380  3 Ce 2.93, 3 K 3.28
Se: 0.2559 0.7207 0.7207  1 Rh 2.72, 2 Ce 2.94
Se: 0.2793 0.2793 0.7441  1 Rh 2.72, 2 Ce 2.94
Se: 0.2793 0.7441 0.2793  1 Rh 2.72, 2 Ce 2.94
Se: 0.7207 0.2559 0.7207  1 Rh 2.72, 2 Ce 2.94
Se: 0.7207 0.7207 0.2559  1 Rh 2.72, 2 Ce 2.94
Se: 0.7441 0.2793 0.2793  1 Rh 2.72, 2 Ce 2.94
Se: 0.7620 0.7620 0.7620  3 Ce 2.93, 3 K 3.28

***

[4]
Computed, not measured: a relaxed structure of K3CeRh2Se6 at the PBE-GGA level of DFT.

a b c (Å): 6.8060 6.8060 8.0373
angles (deg): 98.27 98.27 120.05
Last column: nearest neighbours and their distance in Å.
Fractional coordinates of all 12 atoms:
K: 0.0000 0.0000 0.0000  6 Se 3.17-3.39
K: 0.3419 0.6581 0.0000  6 Se 3.19-3.42
K: 0.6581 0.3419 0.0000  6 Se 3.19-3.42
Ce: 0.5000 0.5000 0.5000  6 Se 2.89-2.90
Rh: 0.1669 0.8331 0.5000  6 Se 2.59
Rh: 0.8331 0.1669 0.5000  6 Se 2.59
Se: 0.0667 0.4364 0.3125  2 Rh 2.59, 1 Ce 2.90
Se: 0.1932 0.1932 0.6857  2 Rh 2.59, 1 Ce 2.89
Se: 0.4364 0.0667 0.3125  2 Rh 2.59, 1 Ce 2.90
Se: 0.5636 0.9333 0.6875  2 Rh 2.59, 1 Ce 2.90
Se: 0.8068 0.8068 0.3143  2 Rh 2.59, 1 Ce 2.89
Se: 0.9333 0.5636 0.6875  2 Rh 2.59, 1 Ce 2.90

***

[5]
Computed, not measured: a relaxed structure of K3Ce3RuS8 at the PBE-GGA level of DFT.

a b c (Å): 8.8351 8.8351 8.8351
angles (deg): 53.29 53.29 53.29
Last column: nearest neighbours and their distance in Å.
Fractional coordinates of all 15 atoms:
K: 0.0000 0.5000 0.5000  6 S 3.17-3.23
K: 0.5000 0.0000 0.5000  6 S 3.17-3.23
K: 0.5000 0.5000 0.0000  6 S 3.17-3.23
Ce: 0.0000 0.0000 0.5000  6 S 2.78
Ce: 0.0000 0.5000 0.0000  6 S 2.78
Ce: 0.5000 0.0000 0.0000  6 S 2.78
Ru: 0.5000 0.5000 0.5000  6 S 2.52
S: 0.2366 0.2366 0.2366  3 Ce 2.78
S: 0.2587 0.7141 0.7141  1 Ru 2.52, 2 Ce 2.78
S: 0.2859 0.2859 0.7413  1 Ru 2.52, 2 Ce 2.78
S: 0.2859 0.7413 0.2859  1 Ru 2.52, 2 Ce 2.78
S: 0.7141 0.2587 0.7141  1 Ru 2.52, 2 Ce 2.78
S: 0.7141 0.7141 0.2587  1 Ru 2.52, 2 Ce 2.78
S: 0.7413 0.2859 0.2859  1 Ru 2.52, 2 Ce 2.78
S: 0.7634 0.7634 0.7634  3 Ce 2.78

***

[6]
Computed, not measured: a relaxed structure of KCeS at the PBE-GGA level of DFT.

a b c (Å): 4.5416 4.5416 12.8776
angles (deg): 102.16 102.16 56.09
Last column: nearest neighbours and their distance in Å.
Fractional coordinates of all 6 atoms:
K: 0.0870 0.0870 0.3403  3 S 3.30-3.44
K: 0.9130 0.9130 0.6597  3 S 3.30-3.44
Ce: 0.3510 0.3510 0.9275  1 Ce 2.66, 3 S 2.81-2.91
Ce: 0.6490 0.6490 0.0725  1 Ce 2.66, 3 S 2.81-2.91
S: 0.3566 0.3566 0.1692  4 Ce 2.81-3.10
S: 0.6434 0.6434 0.8308  4 Ce 2.81-3.10

***

[7]
Computed, not measured: a relaxed structure of KCeS2 at the PBE-GGA level of DFT.

a b c (Å): 7.9286 7.9286 7.9286
angles (deg): 30.59 30.59 30.59
Last column: nearest neighbours and their distance in Å.
Fractional coordinates of all 4 atoms:
K: 0.0000 0.0000 0.0000  6 S 3.23-3.35
Ce: 0.8297 0.8297 0.8297  6 S 2.87
S: 0.2311 0.2311 0.2311  3 Ce 2.87
S: 0.4283 0.4283 0.4283  3 Ce 2.87

***

[8]
Computed, not measured: a relaxed structure of KCeS2 at the PBE-GGA level of DFT.

a b c (Å): 7.7530 7.7530 7.7530
angles (deg): 31.53 31.53 31.53
Last column: nearest neighbours and their distance in Å.
Fractional coordinates of all 4 atoms:
K: 0.0000 0.0000 0.0000  6 S 3.26
Ce: 0.5000 0.5000 0.5000  6 S 2.87
S: 0.2354 0.2354 0.2354  3 Ce 2.87
S: 0.7646 0.7646 0.7646  3 Ce 2.87

***

[9]
Computed, not measured: a relaxed structure of KCe2S3 at the PBE-GGA level of DFT.

a b c (Å): 4.0887 4.0887 21.5651
angles (deg): 90.00 90.00 120.00
Last column: nearest neighbours and their distance in Å.
Fractional coordinates of all 12 atoms:
K: 0.0000 0.0000 0.2500  6 S 3.22
K: 0.0000 0.0000 0.7500  6 S 3.22
Ce: 0.3333 0.6667 0.0759  6 S 2.83-2.87
Ce: 0.3333 0.6667 0.4241  6 S 2.83-2.87
Ce: 0.6667 0.3333 0.5759  6 S 2.83-2.87
Ce: 0.6667 0.3333 0.9241  6 S 2.83-2.87
S: 0.0000 0.0000 0.0000  6 Ce 2.87
S: 0.0000 0.0000 0.5000  6 Ce 2.87
S: 0.3333 0.6667 0.6484  3 Ce 2.83
S: 0.3333 0.6667 0.8516  3 Ce 2.83
S: 0.6667 0.3333 0.1484  3 Ce 2.83
S: 0.6667 0.3333 0.3516  3 Ce 2.83

***

[10]
Computed, not measured: a relaxed structure of KCe3S6 at the PBE-GGA level of DFT.

a b c (Å): 11.4258 4.2237 11.5333
angles (deg): 90.00 107.22 90.00
Last column: nearest neighbours and their distance in Å.
Fractional coordinates of all 20 atoms:
K: 0.0816 0.2500 0.1890  7 S 3.31-3.39
K: 0.9184 0.7500 0.8110  7 S 3.31-3.39
Ce: 0.1626 0.2500 0.5812  6 S 2.74-2.80
Ce: 0.3134 0.7500 0.9842  7 S 2.75-2.92
Ce: 0.4851 0.2500 0.3264  7 S 2.73-2.97
Ce: 0.5149 0.7500 0.6736  7 S 2.73-2.97
Ce: 0.6866 0.2500 0.0158  7 S 2.75-2.92
Ce: 0.8374 0.7500 0.4188  6 S 2.74-2.80
S: 0.0781 0.7500 0.4180  3 Ce 2.75-2.80
S: 0.1521 0.2500 0.9308  2 Ce 2.75
S: 0.2741 0.7500 0.7226  4 Ce 2.74-2.97
S: 0.3223 0.7500 0.2324  3 Ce 2.81-2.83
S: 0.3847 0.2500 0.5259  4 Ce 2.79-2.86
S: 0.4637 0.2500 0.0842  4 Ce 2.73-2.88
S: 0.5363 0.7500 0.9158  4 Ce 2.73-2.88
S: 0.6153 0.7500 0.4741  4 Ce 2.79-2.86
S: 0.6777 0.2500 0.7676  3 Ce 2.81-2.83
S: 0.7259 0.2500 0.2774  4 Ce 2.74-2.97
S: 0.8479 0.7500 0.0692  2 Ce 2.75
S: 0.9219 0.2500 0.5820  3 Ce 2.75-2.80

***

Calculated values (μB per formula unit) of spin magnetization for the records, taken in order: 0.21; 0.30; 2.60; 0.86; 1.02; 1.15; 1.00; 1.00; 1.79; 1.17.
Calculated values (eV/cell) of uncorrected energy for the records, taken in order: -69.2; -64.1; -79.4; -56.6; -85.4; -28.1; -22.3; -22.4; -73.0; -123.5.
Calculated values (meV/atom) of E_form (uncorrected) for the records, taken in order: -1306; -1202; -1376; -979; -1464; -969; -1758; -1790; -1862; -1810.